{"formula": "BiRu3Br", "functional": "PBE", "state": "optimized geometry", "final_energy_ev_per_atom": -4.70, "de_polymorph_ev_per_atom": 0.644, "lattice": [[-4.7738, 1.3640, -1.1632], [-1.0835, -4.8315, -1.2187], [-1.4281, -0.8938, 4.8129]], "species": ["Ru", "Ru", "Bi", "Ru", "Br"], "fractional_positions": [[0.0000, 0.0000, 0.5000], [0.0000, 0.5000, 0.0000], [0.0000, 0.0000, 0.0000], [0.5000, 0.0000, 0.0000], [0.5000, 0.5000, 0.5000]]}

=====

{"formula": "Bi2RuBr", "functional": "PBE", "state": "optimized geometry", "final_energy_ev_per_atom": -4.38, "de_polymorph_ev_per_atom": 0.000, "lattice": [[6.5805, 0.0000, 0.0000], [0.0000, 6.5805, 0.0000], [3.2903, 3.2903, 6.7170]], "species": ["Bi", "Br", "Bi", "Ru", "Ru", "Br", "Bi", "Bi"], "fractional_positions": [[0.7162, 0.1250, 0.2500], [0.2500, 0.7500, 0.5000], [0.3750, 0.2838, 0.7500], [0.0000, 0.0000, 0.0000], [0.7500, 0.2500, 0.5000], [0.5000, 0.5000, 0.0000], [0.0338, 0.6250, 0.2500], [0.8750, 0.9662, 0.7500]]}

=====

{"formula": "BiRuBr3", "functional": "PBE", "state": "optimized geometry", "final_energy_ev_per_atom": -3.37, "de_polymorph_ev_per_atom": 0.000, "lattice": [[5.0557, 0.0000, 0.0000], [0.0000, 5.0557, 0.0000], [0.0000, 0.0000, 5.0557]], "species": ["Br", "Bi", "Ru", "Br", "Br"], "fractional_positions": [[0.5000, 0.0000, 0.0000], [0.5000, 0.5000, 0.5000], [0.0000, 0.0000, 0.0000], [0.0000, 0.5000, 0.0000], [0.0000, 0.0000, 0.5000]]}

=====

{"formula": "BiRu3Br", "functional": "PBE", "state": "optimized geometry", "final_energy_ev_per_atom": -5.34, "de_polymorph_ev_per_atom": 0.000, "lattice": [[4.6457, 0.0000, 0.0000], [0.0000, 4.6457, 0.0000], [0.0000, 0.0000, 4.6457]], "species": ["Ru", "Bi", "Ru", "Ru", "Br"], "fractional_positions": [[0.0000, 0.0000, 0.5000], [0.5000, 0.5000, 0.5000], [0.5000, 0.0000, 0.0000], [0.0000, 0.5000, 0.0000], [0.0000, 0.0000, 0.0000]]}

=====

{"formula": "Bi3RuBr", "functional": "PBE", "state": "optimized geometry", "final_energy_ev_per_atom": -2.97, "de_polymorph_ev_per_atom": 1.218, "lattice": [[-3.1679, 4.4398, -0.6512], [-4.2823, -3.2294, -1.1854], [-1.3410, -0.1760, 5.3238]], "species": ["Br", "Ru", "Bi", "Bi", "Bi"], "fractional_positions": [[0.0000, 0.0000, 0.0000], [0.5000, 0.5000, 0.5000], [0.0000, 0.5000, 0.0000], [0.0000, 0.0000, 0.5000], [0.5000, 0.0000, 0.0000]]}

=====

{"formula": "Bi2RuSBr", "functional": "PBE", "state": "optimized geometry", "final_energy_ev_per_atom": -4.42, "lattice": [[-2.0208, -5.2440, -0.1584], [3.9054, -1.5346, 0.9810], [-1.2502, 0.3165, 5.4722]], "species": ["Br", "Bi", "Ru", "S", "Bi"], "fractional_positions": [[0.5000, 0.5000, 0.5000], [0.5000, 0.0000, 0.0000], [0.0000, 0.0000, 0.0000], [0.0000, 0.5000, 0.0000], [0.0000, 0.0000, 0.5000]]}

=====

{"formula": "BiSb2RuBr", "functional": "PBE", "state": "optimized geometry", "final_energy_ev_per_atom": -3.52, "lattice": [[5.5960, 0.0000, 0.0000], [0.0000, 4.5997, 0.0000], [0.0000, 0.0000, 5.5960]], "species": ["Bi", "Sb", "Sb", "Br", "Ru"], "fractional_positions": [[0.5000, 0.5000, 0.5000], [0.0000, 0.0000, 0.5000], [0.5000, 0.0000, 0.0000], [0.0000, 0.0000, 0.0000], [0.0000, 0.5000, 0.0000]]}

=====

{"formula": "Bi2SbRuBr", "functional": "PBE", "state": "optimized geometry", "final_energy_ev_per_atom": -4.16, "lattice": [[5.3749, 0.0000, 0.0000], [0.0000, 4.9152, 0.0000], [0.0000, 0.0000, 5.3749]], "species": ["Ru", "Bi", "Sb", "Bi", "Br"], "fractional_positions": [[0.0000, 0.0000, 0.0000], [0.5000, 0.0000, 0.0000], [0.5000, 0.5000, 0.5000], [0.0000, 0.0000, 0.5000], [0.0000, 0.5000, 0.0000]]}

=====

{"formula": "BiRuSeBr2", "functional": "PBE", "state": "optimized geometry", "final_energy_ev_per_atom": -3.78, "de_polymorph_ev_per_atom": 0.000, "lattice": [[5.0508, 0.0000, 0.0000], [0.0000, 5.0508, 0.0000], [0.0000, 0.0000, 4.8947]], "species": ["Se", "Br", "Ru", "Br", "Bi"], "fractional_positions": [[0.0000, 0.0000, 0.5000], [0.5000, 0.0000, 0.0000], [0.0000, 0.0000, 0.0000], [0.0000, 0.5000, 0.0000], [0.5000, 0.5000, 0.5000]]}

=====

{"formula": "SnBiRu2Br", "functional": "PBE", "state": "optimized geometry", "final_energy_ev_per_atom": -4.30, "lattice": [[5.0059, 0.0000, 0.0000], [0.0000, 5.3911, 0.0000], [0.0000, 0.0000, 5.0059]], "species": ["Bi", "Br", "Ru", "Ru", "Sn"], "fractional_positions": [[0.5000, 0.5000, 0.5000], [0.0000, 0.5000, 0.0000], [0.0000, 0.0000, 0.5000], [0.5000, 0.0000, 0.0000], [0.0000, 0.0000, 0.0000]]}

=====

{"formula": "Tc2BiRuBr", "functional": "PBE", "state": "optimized geometry", "final_energy_ev_per_atom": -5.67, "lattice": [[-4.4359, 1.3443, 0.3696], [0.1908, -0.6325, 4.5901], [1.3810, 4.4058, 0.5498]], "species": ["Ru", "Bi", "Tc", "Tc", "Br"], "fractional_positions": [[0.0000, 0.5000, 0.0000], [0.5000, 0.5000, 0.5000], [0.5000, 0.0000, 0.0000], [0.0000, 0.0000, 0.5000], [0.0000, 0.0000, 0.0000]]}

=====

{"formula": "Bi3S4Br", "functional": "PBE", "state": "optimized geometry", "final_energy_ev_per_atom": -4.11, "lattice": [[-4.0598, 5.8834, -0.5215], [-3.8156, -6.7105, 3.2484], [5.9800, 4.7303, 6.8140]], "species": ["S", "S", "Bi", "Bi", "Br", "Bi", "Bi", "S", "S", "S", "S", "Br", "S", "Bi", "S", "Bi"], "fractional_positions": [[0.7087, 0.7451, 0.0331], [0.4977, 0.6124, 0.3323], [0.8855, 0.8142, 0.2943], [0.2973, 0.5669, 0.0890], [0.6516, 0.9851, 0.7310], [0.9287, 0.8142, 0.7943], [0.6660, 0.3748, 0.8886], [0.8872, 0.4578, 0.1529], [0.0364, 0.7451, 0.5331], [0.1147, 0.6124, 0.8323], [0.5706, 0.4578, 0.6529], [0.3335, 0.9851, 0.2310], [0.9467, 0.2235, 0.4287], [0.2696, 0.5669, 0.5890], [0.2768, 0.2235, 0.9287], [0.7088, 0.3748, 0.3886]]}

=====

Table of raw formation energy (eV/atom), in record order: 1.976, 0.294, 0.263, 1.332, 1.552, 0.150, 1.091, 0.406, 0.217, 1.326, 1.444, -0.386